1.
Below is Sm2GaRh after structural relaxation, with properties calculated at the PBE level.

CIF file:
```
data_Sm2GaRh
_cell_length_a 3.622
_cell_length_b 3.622
_cell_length_c 6.981
_cell_angle_alpha 90.00
_cell_angle_beta 90.00
_cell_angle_gamma 90.00
_symmetry_space_group_name_H-M 'P 4/m m m'
_symmetry_Int_Tables_number 123
_symmetry_space_group_name_Hall '-P 4 2'
loop_
_atom_site_label
_atom_site_type_symbol
_atom_site_fract_x
_atom_site_fract_y
_atom_site_fract_z
Sm1 Sm 0.000 0.000 0.236
Ga1 Ga 0.500 0.500 0.500
Rh1 Rh 0.500 0.500 0.000
```



2.
Below is SmGaRh2 after structural relaxation, with properties calculated at the PBE level.

CIF file:
```
data_SmGaRh2
_cell_length_a 4.621
_cell_length_b 4.629
_cell_length_c 6.548
_cell_angle_alpha 90.00
_cell_angle_beta 90.00
_cell_angle_gamma 90.00
_symmetry_space_group_name_H-M 'I m m m'
_symmetry_Int_Tables_number 71
_symmetry_space_group_name_Hall '-I 2 2'
loop_
_atom_site_label
_atom_site_type_symbol
_atom_site_fract_x
_atom_site_fract_y
_atom_site_fract_z
Sm1 Sm 0.000 0.000 0.000
Ga1 Ga 0.000 0.000 0.500
Rh1 Rh 0.000 0.500 0.250
```



3.
Below is SmGa4Rh4 after structural relaxation, with properties calculated at the PBE level.

CIF file:
```
data_SmGa4Rh4
_cell_length_a 8.174
_cell_length_b 8.174
_cell_length_c 4.904
_cell_angle_alpha 90.00
_cell_angle_beta 90.00
_cell_angle_gamma 90.00
_symmetry_space_group_name_H-M 'P 42/n'
_symmetry_Int_Tables_number 86
loop_
_symmetry_equiv_pos_as_xyz
'x,y,z'
'-x,-y,-z'
'-y,x+1/2,z+1/2'
'y,-x+1/2,-z+1/2'
'-x+1/2,-y+1/2,z'
'x+1/2,y+1/2,-z'
'y+1/2,-x,z+1/2'
'-y+1/2,x,-z+1/2'
loop_
_atom_site_label
_atom_site_type_symbol
_atom_site_fract_x
_atom_site_fract_y
_atom_site_fract_z
Sm1 Sm 0.250 0.250 0.250
Ga1 Ga 0.055 0.896 0.171
Rh1 Rh 0.107 0.869 0.658
```



4.
Below is Sm5GaRh2 after structural relaxation, with properties calculated at the PBE level.

CIF file:
```
data_Sm5GaRh2
_cell_length_a 7.857
_cell_length_b 7.857
_cell_length_c 13.397
_cell_angle_alpha 90.00
_cell_angle_beta 90.00
_cell_angle_gamma 90.00
_symmetry_space_group_name_H-M 'I 4/m c m'
_symmetry_Int_Tables_number 140
_symmetry_space_group_name_Hall '-I 4 2c'
loop_
_atom_site_label
_atom_site_type_symbol
_atom_site_fract_x
_atom_site_fract_y
_atom_site_fract_z
Sm1 Sm 0.000 0.000 0.000
Sm2 Sm 0.163 0.337 0.140
Ga1 Ga 0.000 0.000 0.250
Rh1 Rh 0.136 0.364 0.500
```



5.
Below is Sm2GaRh2 after structural relaxation, with properties calculated at the PBE level.

CIF file:
```
data_Sm2GaRh2
_cell_length_a 10.199
_cell_length_b 5.540
_cell_length_c 7.707
_cell_angle_alpha 90.00
_cell_angle_beta 104.60
_cell_angle_gamma 90.00
_symmetry_space_group_name_H-M 'C 1 2/c 1'
_symmetry_Int_Tables_number 15
_symmetry_space_group_name_Hall '-C 2yc'
loop_
_atom_site_label
_atom_site_type_symbol
_atom_site_fract_x
_atom_site_fract_y
_atom_site_fract_z
Sm1 Sm 0.146 0.147 0.149
Ga1 Ga 0.000 0.358 0.750
Rh1 Rh 0.133 0.364 0.507
```



6.
Below is SmGa2Rh after structural relaxation, with properties calculated at the PBE level.

CIF file:
```
data_SmGa2Rh
_cell_length_a 4.2321
_cell_length_b 4.2321
_cell_length_c 15.3833
_cell_angle_alpha 90.00
_cell_angle_beta 90.00
_cell_angle_gamma 120.00
_symmetry_space_group_name_H-M 'R -3 m'
_symmetry_Int_Tables_number 166
_symmetry_space_group_name_Hall '-R 3 2"'
loop_
_atom_site_label
_atom_site_type_symbol
_atom_site_fract_x
_atom_site_fract_y
_atom_site_fract_z
Sm1 Sm 0.0000 0.0000 0.0000
Ga1 Ga 0.0000 0.0000 0.2147
Rh1 Rh 0.0000 0.0000 0.5000
```



7.
Below is SmGa2Rh after structural relaxation, with properties calculated at the PBE level.

CIF file:
```
data_SmGa2Rh
_cell_length_a 6.636
_cell_length_b 6.636
_cell_length_c 6.636
_cell_angle_alpha 90.00
_cell_angle_beta 90.00
_cell_angle_gamma 90.00
_symmetry_space_group_name_H-M 'F m -3 m'
_symmetry_Int_Tables_number 225
_symmetry_space_group_name_Hall '-F 4 2 3'
loop_
_atom_site_label
_atom_site_type_symbol
_atom_site_fract_x
_atom_site_fract_y
_atom_site_fract_z
Sm1 Sm 0.000 0.000 0.000
Ga1 Ga 0.250 0.250 0.250
Rh1 Rh 0.000 0.000 0.500
```



8.
Below is SmGaRh2 after structural relaxation, with properties calculated at the PBE level.

CIF file:
```
data_SmGaRh2
_cell_length_a 3.320
_cell_length_b 3.320
_cell_length_c 6.392
_cell_angle_alpha 90.00
_cell_angle_beta 90.00
_cell_angle_gamma 90.00
_symmetry_space_group_name_H-M 'P 4/m m m'
_symmetry_Int_Tables_number 123
_symmetry_space_group_name_Hall '-P 4 2'
loop_
_atom_site_label
_atom_site_type_symbol
_atom_site_fract_x
_atom_site_fract_y
_atom_site_fract_z
Sm1 Sm 0.000 0.000 0.000
Ga1 Ga 0.000 0.000 0.500
Rh1 Rh 0.500 0.500 0.285
```



9.
# Sm3GaRh (PBE, relaxed)
# E above lowest polymorph ... 0 kJ/mol of formula units
data_Sm3GaRh
_cell_length_a 9.926
_cell_length_b 6.458
_cell_length_c 9.012
_cell_angle_alpha 90.00
_cell_angle_beta 117.32
_cell_angle_gamma 90.00
_symmetry_space_group_name_H-M 'C 1 2/m 1'
_symmetry_Int_Tables_number 12
_symmetry_space_group_name_Hall '-C 2y'
loop_
_atom_site_label
_atom_site_type_symbol
_atom_site_fract_x
_atom_site_fract_y
_atom_site_fract_z
Sm1 Sm 0.029 0.000 0.259
Sm2 Sm 0.190 0.500 0.871
Sm3 Sm 0.200 0.500 0.322
Ga1 Ga 0.000 0.304 0.500
Rh1 Rh 0.000 0.274 0.000



10.
Below is Sm2Ga12Rh after structural relaxation, with properties calculated at the PBE level.

CIF file:
```
data_Sm2Ga12Rh
_cell_length_a 6.084
_cell_length_b 6.084
_cell_length_c 15.611
_cell_angle_alpha 90.00
_cell_angle_beta 90.00
_cell_angle_gamma 90.00
_symmetry_space_group_name_H-M 'P 4/n b m'
_symmetry_Int_Tables_number 125
loop_
_symmetry_equiv_pos_as_xyz
'x,y,z'
'-x,-y,-z'
'-y+1/2,x,z'
'y+1/2,-x,-z'
'-x+1/2,-y+1/2,z'
'x+1/2,y+1/2,-z'
'y,-x+1/2,z'
'-y,x+1/2,-z'
'x,-y+1/2,-z'
'-x,y+1/2,z'
'-y+1/2,-x+1/2,-z'
'y+1/2,x+1/2,z'
'-x+1/2,y,-z'
'x+1/2,-y,z'
'y,x,-z'
'-y,-x,z'
loop_
_atom_site_label
_atom_site_type_symbol
_atom_site_fract_x
_atom_site_fract_y
_atom_site_fract_z
Sm1 Sm 0.250 0.750 0.241
Ga1 Ga 0.000 0.000 0.088
Ga2 Ga 0.082 0.582 0.431
Ga3 Ga 0.250 0.250 0.189
Ga4 Ga 0.250 0.250 0.347
Rh1 Rh 0.250 0.750 0.000
```



11.
Below is Sm2Ga5Rh after structural relaxation, with properties calculated at the PBE level.

CIF file:
```
data_Sm2Ga5Rh
_cell_length_a 6.171
_cell_length_b 6.171
_cell_length_c 8.770
_cell_angle_alpha 90.00
_cell_angle_beta 90.00
_cell_angle_gamma 90.00
_symmetry_space_group_name_H-M 'I 4 m m'
_symmetry_Int_Tables_number 107
_symmetry_space_group_name_Hall 'I 4 -2'
loop_
_atom_site_label
_atom_site_type_symbol
_atom_site_fract_x
_atom_site_fract_y
_atom_site_fract_z
Sm1 Sm 0.000 0.500 0.000
Ga1 Ga 0.000 0.000 0.484
Ga2 Ga 0.214 0.214 0.251
Rh1 Rh 0.000 0.000 0.762
```



12.
Below is Sm3Ga3Rh2 after structural relaxation, with properties calculated at the PBE level.

CIF file:
```
data_Sm3Ga3Rh2
_cell_length_a 8.000
_cell_length_b 15.310
_cell_length_c 5.631
_cell_angle_alpha 90.00
_cell_angle_beta 90.00
_cell_angle_gamma 90.00
_symmetry_space_group_name_H-M 'P n m a'
_symmetry_Int_Tables_number 62
_symmetry_space_group_name_Hall '-P 2ac 2n'
loop_
_atom_site_label
_atom_site_type_symbol
_atom_site_fract_x
_atom_site_fract_y
_atom_site_fract_z
Sm1 Sm 0.036 0.108 0.115
Sm2 Sm 0.170 0.250 0.622
Ga1 Ga 0.173 0.750 0.618
Ga2 Ga 0.177 0.037 0.602
Rh1 Rh 0.111 0.608 0.373
```



no.,formation enthalpy at 0 K (eV per atom)
1,-0.64
2,-0.71
3,-0.58
4,-0.57
5,-0.82
6,-0.71
7,-0.59
8,-0.63
9,-0.54
10,-0.44
11,-0.55
12,-0.75